# 1
A plane-wave DFT calculation with PBE was carried out for a relaxed structure of Pr2InS3.

Properties
Density of states at the Fermi level   1.7 states/eV per cell
Final energy   -32.72 eV for the cell shown
Symmetry   Immm (71)
ΔE_f (raw)   -1340 meV per atom

Cell lengths 3.6877, 4.9712, 8.6362 Å; angles 106.73, 102.33, 90.00 degrees
Sites, in units of the cell vectors:
Pr 0.6472 0.6472 0.2944
Pr 0.3528 0.3528 0.7056
S 0.8225 0.8225 0.6450
S 0.1775 0.1775 0.3550
S 0.0000 0.5000 0.0000
In 0.0000 0.0000 0.0000

# 2
A plane-wave DFT calculation with PBE was carried out for a relaxed structure of Pr2In2S7.

Properties
Density of states at the Fermi level   0.0 states/eV per cell
Final energy   -54.74 eV for the cell shown
Symmetry   C2/m (12)
ΔE_f (raw)   -983 meV per atom

Cell lengths 7.0114, 7.5264, 7.5264 Å; angles 112.54, 103.50, 103.50 degrees
Sites, in units of the cell vectors:
S 0.7139 0.4446 0.1050
S 0.7139 0.1050 0.4446
S 0.0000 0.0000 0.0000
S 0.2861 0.8950 0.5554
S 0.7602 0.6783 0.6783
S 0.2861 0.5554 0.8950
S 0.2398 0.3217 0.3217
Pr 0.5000 0.6848 0.3152
Pr 0.5000 0.3152 0.6848
In 0.8500 0.2353 0.2353
In 0.1500 0.7647 0.7647

# 3
A plane-wave DFT calculation with PBE was carried out for a relaxed structure of Pr4InSbS9.

Properties
Density of states at the Fermi level   0.0 states/eV per cell
Final energy   -687.35 eV for the cell shown
Symmetry   P4_32_12 (96)
ΔE_f (raw)   -1520 meV per atom

Cell lengths 10.2976, 10.2976, 28.2148 Å; angles 90.00, 90.00, 90.00 degrees
Sites, in units of the cell vectors:
In 0.9876 0.7956 0.2962
In 0.7956 0.9876 0.7038
In 0.0124 0.2044 0.7962
In 0.2957 0.5124 0.5462
In 0.4876 0.7044 0.9538
In 0.7044 0.4876 0.0462
In 0.2044 0.0124 0.2038
In 0.5124 0.2957 0.4538
Pr 0.1519 0.4900 0.0521
Pr 0.8481 0.5100 0.5521
Pr 0.2348 0.0007 0.5508
Pr 0.7742 0.4429 0.9066
Pr 0.9993 0.7652 0.9492
Pr 0.0598 0.7263 0.6606
Pr 0.4993 0.7348 0.3008
Pr 0.7652 0.9993 0.0508
Pr 0.7258 0.9429 0.8434
Pr 0.5571 0.2258 0.5934
Pr 0.0100 0.6519 0.8021
Pr 0.7737 0.5598 0.4106
Pr 0.9900 0.3481 0.3021
Pr 0.2742 0.0571 0.3434
Pr 0.9429 0.7258 0.1566
Pr 0.2652 0.5007 0.1992
Pr 0.2258 0.5571 0.4066
Pr 0.0007 0.2348 0.4492
Pr 0.7348 0.4993 0.6992
Pr 0.4402 0.2263 0.0894
Pr 0.0571 0.2742 0.6566
Pr 0.5100 0.8481 0.4479
Pr 0.4429 0.7742 0.0934
Pr 0.3481 0.9900 0.6979
Pr 0.5598 0.7737 0.5894
Pr 0.2737 0.9402 0.8394
Pr 0.9402 0.2737 0.1606
Pr 0.5007 0.2652 0.8008
Pr 0.4900 0.1519 0.9479
Pr 0.6519 0.0100 0.1979
Pr 0.2263 0.4402 0.9106
Pr 0.7263 0.0598 0.3394
S 0.2012 0.3121 0.1276
S 0.3201 0.3201 0.0000
S 0.5035 0.4852 0.3976
S 0.0148 0.0035 0.1476
S 0.1894 0.0229 0.4499
S 0.1879 0.7012 0.8776
S 0.4863 0.3284 0.2119
S 0.2026 0.1993 0.7427
S 0.2012 0.6758 0.1260
S 0.3242 0.7988 0.3740
S 0.3007 0.7026 0.4927
S 0.0137 0.8284 0.5381
S 0.3284 0.4863 0.7881
S 0.3121 0.2012 0.8724
S 0.1716 0.9863 0.9619
S 0.6993 0.2974 0.9927
S 0.8007 0.7974 0.7573
S 0.7988 0.6879 0.6276
S 0.6799 0.6799 0.5000
S 0.2988 0.8121 0.6224
S 0.8284 0.0137 0.4619
S 0.6879 0.7988 0.3724
S 0.7974 0.8007 0.2427
S 0.8106 0.9771 0.9499
S 0.9960 0.4977 0.2175
S 0.6758 0.2012 0.8740
S 0.6017 0.9946 0.6515
S 0.9946 0.6017 0.3485
S 0.4960 0.0023 0.0325
S 0.4946 0.8983 0.9015
S 0.9852 0.9965 0.6476
S 0.8121 0.2988 0.3776
S 0.4965 0.5148 0.8976
S 0.1017 0.5054 0.5985
S 0.7012 0.1879 0.1224
S 0.9771 0.8106 0.0501
S 0.9863 0.1716 0.0381
S 0.8983 0.4946 0.0985
S 0.5148 0.4965 0.1024
S 0.5054 0.1017 0.4015
S 0.0229 0.1894 0.5501
S 0.1948 0.8052 0.2500
S 0.4771 0.6894 0.1999
S 0.6894 0.4771 0.8001
S 0.0035 0.0148 0.8524
S 0.7012 0.8242 0.1240
S 0.0054 0.3983 0.8485
S 0.2988 0.1758 0.6240
S 0.6716 0.5137 0.2881
S 0.3106 0.5229 0.3001
S 0.1993 0.2026 0.2573
S 0.5040 0.9977 0.5325
S 0.5229 0.3106 0.6999
S 0.3983 0.0054 0.1515
S 0.9965 0.9852 0.3524
S 0.5137 0.6716 0.7119
S 0.1799 0.8201 0.7500
S 0.5023 0.0040 0.2825
S 0.4852 0.5035 0.6024
S 0.4977 0.9960 0.7825
S 0.6948 0.6948 0.0000
S 0.3052 0.3052 0.5000
S 0.7026 0.3007 0.5073
S 0.7988 0.3242 0.6260
S 0.9977 0.5040 0.4675
S 0.2974 0.6993 0.0073
S 0.0040 0.5023 0.7175
S 0.8201 0.1799 0.2500
S 0.0023 0.4960 0.9675
S 0.1758 0.2988 0.3760
S 0.8052 0.1948 0.7500
S 0.8242 0.7012 0.8760
Sb 0.0112 0.8635 0.4436
Sb 0.9888 0.1365 0.9436
Sb 0.6365 0.5112 0.1936
Sb 0.4888 0.3635 0.3064
Sb 0.3635 0.4888 0.6936
Sb 0.5112 0.6365 0.8064
Sb 0.1365 0.9888 0.0564
Sb 0.8635 0.0112 0.5564

# 4
A plane-wave DFT calculation with PBE was carried out for a relaxed structure of PrIn2SnS4.

Properties
Density of states at the Fermi level   4.3 states/eV per cell
Final energy   -37.33 eV for the cell shown
Symmetry   P2/m (10)
ΔE_f (raw)   -820 meV per atom

Cell lengths 4.1227, 7.3642, 7.2633 Å; angles 71.07, 90.00, 90.00 degrees
Sites, in units of the cell vectors:
S 0.0000 0.2635 0.2530
S 0.5000 0.2723 0.7362
S 0.0000 0.7365 0.7470
S 0.5000 0.7277 0.2638
Pr 0.0000 0.5000 0.5000
In 0.0000 0.0000 0.0000
In 0.5000 0.0000 0.5000
Sn 0.5000 0.5000 0.0000

# 5
A plane-wave DFT calculation with PBE was carried out for a relaxed structure of Sr2PrInS5.

Properties
Density of states at the Fermi level   0.0 states/eV per cell
Final energy   -93.05 eV for the cell shown
Symmetry   Cmc2_1 (36)
ΔE_f (raw)   -1667 meV per atom

Cell lengths 4.1278, 9.0280, 12.7194 Å; angles 90.00, 90.00, 103.22 degrees
Sites, in units of the cell vectors:
Sr 0.8659 0.7318 0.8061
Sr 0.1113 0.2227 0.6885
Sr 0.1341 0.2682 0.3061
Sr 0.8887 0.7773 0.1885
S 0.7150 0.4300 0.1672
S 0.2850 0.5700 0.6672
S 0.6802 0.3603 0.8657
S 0.3723 0.7446 0.0005
S 0.5076 0.0152 0.2688
S 0.4924 0.9848 0.7688
S 0.6277 0.2554 0.5005
S 0.3198 0.6397 0.3657
S 0.9506 0.9013 0.5612
S 0.0494 0.0987 0.0612
Pr 0.7855 0.5711 0.5135
Pr 0.2145 0.4289 0.0135
In 0.4704 0.9408 0.4525
In 0.5296 0.0592 0.9525

# 6
A plane-wave DFT calculation with PBE was carried out for a relaxed structure of Pr3Tl4InS8.

Properties
Density of states at the Fermi level   0.2 states/eV per cell
Final energy   -78.41 eV for the cell shown
Symmetry   R-3m (166)
ΔE_f (raw)   -1178 meV per atom

Cell lengths 8.2949, 8.9083, 8.2939 Å; angles 117.76, 120.00, 90.00 degrees
Sites, in units of the cell vectors:
Pr 0.5000 0.5000 0.0000
Pr 0.0000 0.5000 0.5000
Pr 0.5000 0.5000 0.5000
S 0.2268 0.7024 0.9755
S 0.7486 0.7024 0.9755
S 0.2270 0.7025 0.4540
S 0.7356 0.7070 0.4713
S 0.7730 0.2975 0.5460
S 0.2514 0.2976 0.0245
S 0.2644 0.2930 0.5287
S 0.7732 0.2976 0.0245
In 0.0000 0.5000 0.0000
Tl 0.0000 0.0000 0.5000
Tl 0.0000 0.0000 0.0000
Tl 0.5000 0.0000 0.5000
Tl 0.5000 0.0000 0.0000

- Which of these has the lowest ΔE_f (raw)?
  Sr2PrInS5

Repeat the fifth record exactly.
A plane-wave DFT calculation with PBE was carried out for a relaxed structure of Sr2PrInS5.

Properties
Density of states at the Fermi level   0.0 states/eV per cell
Final energy   -93.05 eV for the cell shown
Symmetry   Cmc2_1 (36)
ΔE_f (raw)   -1667 meV per atom

Cell lengths 4.1278, 9.0280, 12.7194 Å; angles 90.00, 90.00, 103.22 degrees
Sites, in units of the cell vectors:
Sr 0.8659 0.7318 0.8061
Sr 0.1113 0.2227 0.6885
Sr 0.1341 0.2682 0.3061
Sr 0.8887 0.7773 0.1885
S 0.7150 0.4300 0.1672
S 0.2850 0.5700 0.6672
S 0.6802 0.3603 0.8657
S 0.3723 0.7446 0.0005
S 0.5076 0.0152 0.2688
S 0.4924 0.9848 0.7688
S 0.6277 0.2554 0.5005
S 0.3198 0.6397 0.3657
S 0.9506 0.9013 0.5612
S 0.0494 0.0987 0.0612
Pr 0.7855 0.5711 0.5135
Pr 0.2145 0.4289 0.0135
In 0.4704 0.9408 0.4525
In 0.5296 0.0592 0.9525

- Which value of density of states at the Fermi level does entry 3 give?
  0.0 states/eV per cell

- Number 5 is which compound?
  Sr2PrInS5